# 1
Density functional theory data (GGA-PBE) for a geometry-optimized TaTi2N3 structure.

Summary:
Formation energy without anion corrections ... -1.012 eV/atom

a = 5.041 Å, b = 5.041 Å, c = 2.879 Å
α = 90.00°, β = 90.00°, γ = 120.00°
Element x y z (fractional)
Ta: 0.000 0.000 0.000
Ti: 0.667 0.333 0.500
Ti: 0.333 0.667 0.500
N: 0.500 0.500 0.000
N: 0.500 0.000 0.000
N: 0.000 0.500 0.000

***

# 2
Density functional theory data (GGA-PBE) for a geometry-optimized CaCr2P structure.

Summary:
Formation energy ... 0.183 eV/atom

a = 4.602 Å, b = 4.602 Å, c = 4.602 Å
α = 60.00°, β = 60.00°, γ = 60.00°
Each line ends with the local moment (μB).
Element x y z (fractional)
Ca: 0.500 0.500 0.500  0.10
Cr: 0.000 0.000 0.000  -3.19
Cr: 0.750 0.750 0.750  3.65
P: 0.250 0.250 0.250  0.09

***

# 3
Density functional theory data (GGA-PBE) for a geometry-optimized ErScRuPt structure.

Summary:
Formation energy ... -0.878 eV/atom
Distance to the lowest polymorph of the same formula ... 52 meV/atom

a = 4.711 Å, b = 4.711 Å, c = 4.711 Å
α = 60.00°, β = 60.00°, γ = 60.00°
Element x y z (fractional)
Sc: 0.500 0.500 0.500
Ru: 0.250 0.250 0.250
Pt: 0.750 0.750 0.750
Er: 0.000 0.000 0.000

***

# 4
Density functional theory data (GGA-PBE) for a geometry-optimized YTeRu2 structure.

Summary:
Formation energy without anion corrections ... 0.013 eV/atom

a = 4.257 Å, b = 3.576 Å, c = 5.646 Å
α = 90.00°, β = 90.00°, γ = 90.00°
Element x y z (fractional)
Ru: 0.000 0.250 0.965
Ru: 0.000 0.250 0.535
Te: 0.500 0.250 0.250
Y: 0.500 0.750 0.750

***

# 5
Density functional theory data (GGA-PBE) for a geometry-optimized Rb2Ge2Pb structure.

Summary:
Formation energy ... 0.143 eV/atom
Distance to the lowest polymorph of the same formula ... 143 meV/atom

a = 4.993 Å, b = 4.993 Å, c = 7.980 Å
α = 71.77°, β = 71.77°, γ = 90.00°
Element x y z (fractional)
Pb: 0.000 0.000 0.000
Ge: 0.420 0.420 0.160
Ge: 0.580 0.580 0.840
Rb: 0.750 0.250 0.500
Rb: 0.250 0.750 0.500

***

# 6
Density functional theory data (GGA-PBE) for a geometry-optimized PrNiSb2 structure.

Summary:
Formation energy without anion corrections ... -0.729 eV/atom

a = 4.425 Å, b = 4.425 Å, c = 9.849 Å
α = 90.00°, β = 90.00°, γ = 90.00°
Element x y z (fractional)
Pr: 0.750 0.750 0.241
Pr: 0.250 0.250 0.759
Sb: 0.250 0.250 0.131
Sb: 0.750 0.750 0.869
Sb: 0.750 0.250 0.500
Sb: 0.250 0.750 0.500
Ni: 0.250 0.750 0.000
Ni: 0.750 0.250 0.000

***

# 7
Density functional theory data (GGA-PBE) for a geometry-optimized TiBPd structure.

Summary:
Formation energy ... -0.368 eV/atom

a = 2.917 Å, b = 2.916 Å, c = 10.608 Å
α = 90.02°, β = 82.10°, γ = 60.00°
Element x y z (fractional)
Ti: 0.791 0.104 0.313
Ti: 0.209 0.896 0.687
B: 0.648 0.176 0.527
B: 0.352 0.824 0.473
Pd: 0.257 0.372 0.114
Pd: 0.743 0.628 0.886

***

# 8
Density functional theory data (GGA-PBE) for a geometry-optimized Ac8PdPb2 structure.

Summary:
Formation energy ... -0.304 eV/atom

a = 5.306 Å, b = 7.991 Å, c = 10.642 Å
α = 98.99°, β = 104.44°, γ = 90.00°
Element x y z (fractional)
Ac: 0.405 0.502 0.810
Ac: 0.645 0.014 0.291
Ac: 0.787 0.657 0.575
Ac: 0.992 0.227 0.985
Ac: 0.213 0.343 0.425
Ac: 0.355 0.986 0.709
Ac: 0.595 0.498 0.190
Ac: 0.008 0.773 0.015
Pd: 0.500 0.000 0.000
Pb: 0.815 0.229 0.631
Pb: 0.185 0.771 0.369

***

# 9
Density functional theory data (GGA-PBE) for a geometry-optimized CsRbAu4 structure.

Summary:
Formation energy ... -0.230 eV/atom
Distance to the lowest polymorph of the same formula ... 0 meV/atom

a = 4.716 Å, b = 7.003 Å, c = 7.003 Å
α = 72.64°, β = 70.32°, γ = 70.32°
Element x y z (fractional)
Cs: 0.500 0.500 0.500
Rb: 0.000 0.000 0.000
Au: 0.254 0.411 0.081
Au: 0.254 0.081 0.411
Au: 0.746 0.589 0.919
Au: 0.746 0.919 0.589

***

# 10
Density functional theory data (GGA-PBE) for a geometry-optimized MgZnPd14 structure.

Summary:
Formation energy ... -0.198 eV/atom

a = 5.583 Å, b = 5.583 Å, c = 7.864 Å
α = 90.00°, β = 90.00°, γ = 90.00°
Element x y z (fractional)
Mg: 0.375 0.375 0.500
Zn: 0.875 0.875 0.500
Pd: 0.875 0.875 0.000
Pd: 0.375 0.375 0.000
Pd: 0.875 0.375 0.500
Pd: 0.875 0.375 0.000
Pd: 0.375 0.875 0.500
Pd: 0.375 0.875 0.000
Pd: 0.626 0.124 0.254
Pd: 0.626 0.124 0.746
Pd: 0.124 0.626 0.254
Pd: 0.124 0.626 0.746
Pd: 0.626 0.626 0.254
Pd: 0.626 0.626 0.746
Pd: 0.124 0.124 0.254
Pd: 0.124 0.124 0.746

***

# 11
Density functional theory data (GGA-PBE) for a geometry-optimized LiY5Te6 structure.

Summary:
Formation energy without anion corrections ... -1.331 eV/atom

a = 7.538 Å, b = 7.515 Å, c = 7.515 Å
α = 60.00°, β = 80.39°, γ = 70.49°
Element x y z (fractional)
Li: 0.000 0.000 0.000
Y: 0.500 0.171 0.659
Y: 0.000 0.336 0.329
Y: 0.500 0.500 0.000
Y: 0.000 0.664 0.671
Y: 0.500 0.829 0.341
Te: 0.757 0.080 0.323
Te: 0.243 0.598 0.323
Te: 0.245 0.239 0.000
Te: 0.755 0.761 0.000
Te: 0.757 0.402 0.677
Te: 0.243 0.920 0.677

***

# 12
Density functional theory data (GGA-PBE) for a geometry-optimized BaSrGeIr structure.

Summary:
Formation energy ... -0.460 eV/atom

a = 4.379 Å, b = 4.379 Å, c = 8.940 Å
α = 75.82°, β = 75.82°, γ = 60.00°
Element x y z (fractional)
Ba: 0.026 0.026 0.921
Sr: 0.190 0.190 0.429
Ge: 0.446 0.446 0.663
Ir: 0.778 0.778 0.666

***

So what do the calculations give for size of the total moment? Going down the list: 0.00 0.87 0.00 0.00 0.00 0.00 0.00 0.00 0.00 0.00 0.00 0.00 Bohr magnetons per cell.